[1]
VASP calculation (PBE) on a relaxed structure of Pu2Ti3Ge4.

Unit cell a=7.0706 b=7.1583 c=7.1387 alpha=90.00 beta=90.00 gamma=110.02
Closest atoms and distances in Å follow each position.
Fractional positions:
Ti 0.5000 0.5000 0.0000  6 Ge 2.74-2.77
Ti 0.2488 0.7465 0.1670  6 Ge 2.61-2.77
Ti 0.7512 0.2535 0.8330  6 Ge 2.61-2.77
Ti 0.0000 0.5000 0.5000  6 Ge 2.74-2.77
Ti 0.2512 0.2535 0.6670  6 Ge 2.61-2.77
Ti 0.7488 0.7465 0.3330  6 Ge 2.61-2.77
Pu 0.0571 0.1819 0.1619  7 Ge 2.89-3.08
Pu 0.9429 0.8181 0.8381  7 Ge 2.89-3.08
Pu 0.4429 0.8181 0.6619  7 Ge 2.89-3.08
Pu 0.5571 0.1819 0.3381  7 Ge 2.89-3.08
Ge 0.3669 0.0916 0.9553  4 Ti 2.63-2.77, 1 Ge 2.71, 1 Pu 2.89
Ge 0.1394 0.5053 0.8635  5 Ti 2.61-2.77, 1 Ge 2.75, 1 Pu 2.90
Ge 0.3606 0.4947 0.3635  5 Ti 2.61-2.77, 1 Ge 2.75, 1 Pu 2.90
Ge 0.6394 0.5053 0.6365  5 Ti 2.61-2.77, 1 Ge 2.75, 1 Pu 2.90
Ge 0.8606 0.4947 0.1365  5 Ti 2.61-2.77, 1 Ge 2.75, 1 Pu 2.90
Ge 0.6331 0.9084 0.0447  4 Ti 2.63-2.77, 1 Ge 2.71, 1 Pu 2.89
Ge 0.1331 0.9084 0.4553  4 Ti 2.63-2.77, 1 Ge 2.71, 1 Pu 2.89
Ge 0.8669 0.0916 0.5447  4 Ti 2.63-2.77, 1 Ge 2.71, 1 Pu 2.89

Results
energy	-152.61	eV per cell

---

[2]
VASP calculation (PBE) on a relaxed structure of HfZnW2Br.

Unit cell a=4.6190 b=4.8349 c=4.6190 alpha=90.00 beta=90.00 gamma=90.00
Closest atoms and distances in Å follow each position.
Fractional positions:
W 0.5000 0.0000 0.0000  2 Br 2.31
W 0.0000 0.0000 0.5000  2 Br 2.31
Br 0.0000 0.0000 0.0000  4 W 2.31, 2 Hf 2.42
Hf 0.0000 0.5000 0.0000  2 Br 2.42
Zn 0.5000 0.5000 0.5000  4 Hf 3.27, 8 W 3.34

Results
uncorrected formation energy	1.693	eV per atom
energy	-30.34	eV per cell